Computed, not measured: crystalline CaNb3Ga at its relaxed geometry at the GGA-PBEsol level of DFT.

Computed properties:
E in eV for the cell shown: -33.020
Energy of formation from the pure elements in eV/f.u.: 4.92

abc: 4.857 4.857 4.857
angles: 90.00 90.00 90.00
Space group Pm-3m (No. 221)
Inequivalent atoms, fractional coordinates:
Ca: 0.000 0.000 0.000 [1 per cell]
Nb: 0.000 0.500 0.500 [3 per cell]
Ga: 0.500 0.500 0.500 [1 per cell]

---

Computed, not measured: crystalline Sr4In17Au15 at its relaxed geometry at the GGA-PBEsol level of DFT.

Computed properties:
E in eV for the cell shown: -132.240
Energy of formation from the pure elements in eV/f.u.: -15.31

abc: 12.869 4.320 14.429
angles: 90.00 90.38 90.00
Space group Pm (No. 6)
Inequivalent atoms, fractional coordinates:
Sr: 0.000 0.000 0.000 [1 per cell]
Sr: 0.185 0.500 0.418 [1 per cell]
Sr: 0.494 0.500 0.912 [1 per cell]
Sr: 0.692 0.000 0.499 [1 per cell]
In: 0.013 0.500 0.204 [1 per cell]
In: 0.057 0.500 0.630 [1 per cell]
In: 0.118 0.000 0.788 [1 per cell]
In: 0.187 0.000 0.216 [1 per cell]
In: 0.291 0.000 0.005 [1 per cell]
In: 0.303 0.500 0.690 [1 per cell]
In: 0.378 0.000 0.517 [1 per cell]
In: 0.379 0.500 0.185 [1 per cell]
In: 0.490 0.500 0.396 [1 per cell]
In: 0.504 0.000 0.710 [1 per cell]
In: 0.575 0.000 0.268 [1 per cell]
In: 0.625 0.500 0.121 [1 per cell]
In: 0.673 0.500 0.702 [1 per cell]
In: 0.792 0.500 0.907 [1 per cell]
In: 0.814 0.000 0.224 [1 per cell]
In: 0.875 0.000 0.725 [1 per cell]
In: 0.893 0.500 0.407 [1 per cell]
Au: 0.007 0.000 0.326 [1 per cell]
Au: 0.185 0.500 0.091 [1 per cell]
Au: 0.190 0.000 0.599 [1 per cell]
Au: 0.199 0.500 0.897 [1 per cell]
Au: 0.332 0.000 0.816 [1 per cell]
Au: 0.364 0.000 0.322 [1 per cell]
Au: 0.485 0.000 0.087 [1 per cell]
Au: 0.497 0.500 0.586 [1 per cell]
Au: 0.680 0.000 0.824 [1 per cell]
Au: 0.703 0.500 0.318 [1 per cell]
Au: 0.708 0.000 0.017 [1 per cell]
Au: 0.841 0.500 0.097 [1 per cell]
Au: 0.845 0.500 0.598 [1 per cell]
Au: 0.978 0.000 0.518 [1 per cell]
Au: 0.982 0.500 0.820 [1 per cell]

---

Computed, not measured: crystalline HfNb2Ga2 at its relaxed geometry at the GGA-PBEsol level of DFT.

Computed properties:
E in eV for the cell shown: -82.233
Energy of formation from the pure elements in eV/f.u.: -2.29

abc: 7.013 7.013 3.470
angles: 90.00 90.00 90.00
Space group P4/mbm (No. 127)
Inequivalent atoms, fractional coordinates:
Hf: 0.000 0.000 0.000 [2 per cell]
Nb: 0.175 0.325 0.500 [4 per cell]
Ga: 0.124 0.624 0.000 [4 per cell]